No. 1
! Pr3SmSb4 PBE optimized geometry; values from VASP
&SYSTEM
  ibrav = 0, nat = 8, ntyp = 3
/
ATOMIC_SPECIES
Pr 140.91 Pr.upf
Sm 150.36 Sm.upf
Sb 121.76 Sb.upf
ATOMIC_POSITIONS crystal
Pr 0.500 0.500 0.500
Pr 0.000 0.000 0.500
Pr 0.000 0.500 0.000
Sm 0.500 0.000 0.000
Sb 0.000 0.754 0.754
Sb 0.000 0.246 0.246
Sb 0.500 0.752 0.248
Sb 0.500 0.248 0.752
CELL_PARAMETERS angstrom
4.539 0.000 0.000
0.000 7.856 -0.075
0.000 -2.548 7.431
! Raw total energy   -45.046 eV/f.u.
! Uncorrected formation energy   -9.50 eV per formula unit
! Space group   Cmmm (65)
! Energy relative to the lowest polymorph listed for this composition   4 meV per atom
! DOS(E_F)   0.12 states/eV/atom
! Volume   264.13 Å³ per cell

***

No. 2
! Pr5Sm5Sb6 PBE optimized geometry; values from VASP
&SYSTEM
  ibrav = 0, nat = 16, ntyp = 3
/
ATOMIC_SPECIES
Sm 150.36 Sm.upf
Sb 121.76 Sb.upf
Pr 140.91 Pr.upf
ATOMIC_POSITIONS crystal
Sm 0.000 0.001 0.750
Sm 0.500 0.251 0.999
Sm 0.500 0.999 0.251
Sm 0.500 0.753 0.753
Sm 0.000 0.750 0.001
Sb 0.500 0.383 0.383
Sb 0.000 0.619 0.619
Sb 0.000 0.998 0.384
Sb 0.500 0.000 0.617
Sb 0.500 0.617 0.000
Sb 0.000 0.384 0.998
Pr 0.250 0.334 0.666
Pr 0.250 0.666 0.334
Pr 0.750 0.334 0.666
Pr 0.750 0.666 0.334
Pr 0.000 0.247 0.247
CELL_PARAMETERS angstrom
6.505 0.000 0.000
0.000 8.107 -4.646
0.000 -0.067 9.344
! Raw total energy   -87.554 eV/f.u.
! Uncorrected formation energy   -15.33 eV per formula unit
! Space group   Amm2 (38)
! DOS(E_F)   1.07 states/eV/atom
! Volume   490.77 Å³ per cell

***

No. 3
! Pr5SmSb4 PBE optimized geometry; values from VASP
&SYSTEM
  ibrav = 0, nat = 10, ntyp = 3
/
ATOMIC_SPECIES
Sb 121.76 Sb.upf
Pr 140.91 Pr.upf
Sm 150.36 Sm.upf
ATOMIC_POSITIONS crystal
Sb 0.668 0.089 0.336
Sb 0.995 0.748 0.989
Sb 0.332 0.911 0.664
Sb 0.005 0.252 0.011
Pr 0.500 0.500 0.000
Pr 0.164 0.830 0.328
Pr 0.827 0.654 0.654
Pr 0.836 0.170 0.672
Pr 0.173 0.346 0.346
Sm 0.500 0.000 0.000
CELL_PARAMETERS angstrom
4.448 0.000 0.000
0.000 8.776 -0.599
-2.224 -1.886 9.506
! Raw total energy   -53.146 eV/f.u.
! Uncorrected formation energy   -8.04 eV per formula unit
! Space group   C2/m (12)
! DOS(E_F)   0.75 states/eV/atom
! Volume   366.01 Å³ per cell

***

No. 4
! Pr3Sm2Sb2 PBE optimized geometry; values from VASP
&SYSTEM
  ibrav = 0, nat = 7, ntyp = 3
/
ATOMIC_SPECIES
Pr 140.91 Pr.upf
Sm 150.36 Sm.upf
Sb 121.76 Sb.upf
ATOMIC_POSITIONS crystal
Pr 0.782 0.254 0.564
Pr 0.000 0.500 0.000
Pr 0.218 0.746 0.436
Sm 0.097 0.190 0.194
Sm 0.903 0.810 0.806
Sb 0.593 0.866 0.186
Sb 0.407 0.134 0.814
CELL_PARAMETERS angstrom
4.060 0.000 0.000
0.000 7.428 -0.607
-2.030 -2.888 8.053
! Raw total energy   -35.234 eV/f.u.
! Uncorrected formation energy   -3.21 eV per formula unit
! Space group   C2/m (12)
! DOS(E_F)   1.09 states/eV/atom
! Volume   235.74 Å³ per cell

***

No. 5
! Pr4SmSb5 PBE optimized geometry; values from VASP
&SYSTEM
  ibrav = 0, nat = 10, ntyp = 3
/
ATOMIC_SPECIES
Sb 121.76 Sb.upf
Pr 140.91 Pr.upf
Sm 150.36 Sm.upf
ATOMIC_POSITIONS crystal
Sb 0.901 0.901 0.802
Sb 0.099 0.099 0.198
Sb 0.700 0.700 0.400
Sb 0.300 0.300 0.600
Sb 0.500 0.500 0.000
Pr 0.600 0.600 0.199
Pr 0.400 0.400 0.801
Pr 0.800 0.800 0.601
Pr 0.200 0.200 0.399
Sm 0.000 0.000 0.000
CELL_PARAMETERS angstrom
4.542 0.000 0.000
0.000 4.542 0.000
-2.271 -2.271 16.044
! Raw total energy   -56.339 eV/f.u.
! Uncorrected formation energy   -11.89 eV per formula unit
! Space group   I4/mmm (139)
! DOS(E_F)   0.12 states/eV/atom
! Volume   330.95 Å³ per cell

***

No. 6
! PrSm8Sb6 PBE optimized geometry; values from VASP
&SYSTEM
  ibrav = 0, nat = 15, ntyp = 3
/
ATOMIC_SPECIES
Sm 150.36 Sm.upf
Sb 121.76 Sb.upf
Pr 140.91 Pr.upf
ATOMIC_POSITIONS crystal
Sm 0.791 0.123 0.635
Sm 0.667 0.667 0.000
Sm 0.209 0.877 0.365
Sm 0.123 0.451 0.635
Sm 0.451 0.791 0.635
Sm 0.549 0.209 0.365
Sm 0.333 0.333 0.000
Sm 0.877 0.549 0.365
Sb 0.068 0.731 0.795
Sb 0.731 0.406 0.795
Sb 0.406 0.068 0.795
Sb 0.269 0.594 0.205
Sb 0.932 0.269 0.205
Sb 0.594 0.932 0.205
Pr 0.000 0.000 0.000
CELL_PARAMETERS angstrom
8.209 0.000 0.000
4.104 7.109 0.000
4.104 2.370 8.449
! Raw total energy   -79.504 eV/f.u.
! Uncorrected formation energy   -12.24 eV per formula unit
! Space group   R-3 (148)
! DOS(E_F)   1.05 states/eV/atom
! Volume   493.05 Å³ per cell

***

No. 7
! PrSm2Sb PBE optimized geometry; values from VASP
&SYSTEM
  ibrav = 0, nat = 8, ntyp = 3
/
ATOMIC_SPECIES
Sm 150.36 Sm.upf
Pr 140.91 Pr.upf
Sb 121.76 Sb.upf
ATOMIC_POSITIONS crystal
Sm 0.060 0.750 0.121
Sm 0.940 0.250 0.879
Sm 0.435 0.750 0.871
Sm 0.565 0.250 0.129
Pr 0.695 0.750 0.390
Pr 0.305 0.250 0.610
Sb 0.167 0.250 0.332
Sb 0.833 0.750 0.668
CELL_PARAMETERS angstrom
4.680 0.000 -0.020
0.000 4.636 0.000
-2.289 0.000 11.761
! Raw total energy   -20.675 eV/f.u.
! Uncorrected formation energy   -2.33 eV per formula unit
! Space group   Cmcm (63)
! Energy relative to the lowest polymorph listed for this composition   0 meV per atom
! DOS(E_F)   1.32 states/eV/atom
! Volume   254.93 Å³ per cell

***

No. 8
! Pr3SmSb3 PBE optimized geometry; values from VASP
&SYSTEM
  ibrav = 0, nat = 28, ntyp = 3
/
ATOMIC_SPECIES
Sb 121.76 Sb.upf
Pr 140.91 Pr.upf
Sm 150.36 Sm.upf
ATOMIC_POSITIONS crystal
Sb 0.999 0.753 0.627
Sb 0.627 0.999 0.753
Sb 0.501 0.247 0.127
Sb 0.247 0.127 0.501
Sb 0.873 0.001 0.253
Sb 0.127 0.501 0.247
Sb 0.499 0.747 0.373
Sb 0.253 0.873 0.001
Sb 0.373 0.499 0.747
Sb 0.747 0.373 0.499
Sb 0.001 0.253 0.873
Sb 0.753 0.627 0.999
Pr 0.820 0.680 0.320
Pr 0.179 0.821 0.321
Pr 0.821 0.321 0.179
Pr 0.069 0.431 0.569
Pr 0.431 0.569 0.069
Pr 0.679 0.679 0.679
Pr 0.931 0.931 0.931
Pr 0.180 0.180 0.180
Pr 0.320 0.820 0.680
Pr 0.321 0.179 0.821
Pr 0.569 0.069 0.431
Pr 0.680 0.320 0.820
Sm 0.929 0.071 0.571
Sm 0.571 0.929 0.071
Sm 0.071 0.571 0.929
Sm 0.429 0.429 0.429
CELL_PARAMETERS angstrom
-7.166 2.709 -5.692
-4.063 -8.574 1.034
-4.820 3.200 7.591
! Raw total energy   -38.848 eV/f.u.
! Uncorrected formation energy   -7.42 eV per formula unit
! Space group   P2_13 (198)
! Energy relative to the lowest polymorph listed for this composition   0 meV per atom
! DOS(E_F)   1.02 states/eV/atom
! Volume   869.34 Å³ per cell

***

No. 9
! PrSmSb PBE optimized geometry; values from VASP
&SYSTEM
  ibrav = 0, nat = 3, ntyp = 3
/
ATOMIC_SPECIES
Sm 150.36 Sm.upf
Pr 140.91 Pr.upf
Sb 121.76 Sb.upf
ATOMIC_POSITIONS crystal
Sm 0.096 0.000 0.000
Pr 0.620 0.667 0.333
Sb 0.283 0.333 0.667
CELL_PARAMETERS angstrom
4.237 0.000 0.000
0.000 5.156 0.000
0.000 -2.578 4.466
! Raw total energy   -15.000 eV/f.u.
! Uncorrected formation energy   -1.38 eV per formula unit
! Space group   P3m1 (156)
! DOS(E_F)   1.09 states/eV/atom
! Volume   97.56 Å³ per cell

***

No. 10
! PrSm5Sb6 PBE optimized geometry; values from VASP
&SYSTEM
  ibrav = 0, nat = 12, ntyp = 3
/
ATOMIC_SPECIES
Sm 150.36 Sm.upf
Pr 140.91 Pr.upf
Sb 121.76 Sb.upf
ATOMIC_POSITIONS crystal
Sm 0.000 0.667 0.666
Sm 0.000 0.333 0.334
Sm 0.500 0.500 0.000
Sm 0.500 0.166 0.669
Sm 0.500 0.834 0.331
Pr 0.000 0.000 0.000
Sb 0.252 0.580 0.336
Sb 0.749 0.747 0.000
Sb 0.748 0.084 0.336
Sb 0.748 0.420 0.664
Sb 0.252 0.916 0.664
Sb 0.251 0.253 0.000
CELL_PARAMETERS angstrom
-1.214 -5.911 4.896
3.871 -6.262 -2.485
7.298 -1.247 2.361
! Raw total energy   -67.253 eV/f.u.
! Uncorrected formation energy   -14.14 eV per formula unit
! Space group   C2/m (12)
! DOS(E_F)   0.15 states/eV/atom
! Volume   383.05 Å³ per cell

***

No. 11
! PrSm4Sb5 PBE optimized geometry; values from VASP
&SYSTEM
  ibrav = 0, nat = 10, ntyp = 3
/
ATOMIC_SPECIES
Sb 121.76 Sb.upf
Sm 150.36 Sm.upf
Pr 140.91 Pr.upf
ATOMIC_POSITIONS crystal
Sb 0.200 0.700 0.399
Sb 0.602 0.102 0.204
Sb 0.398 0.898 0.796
Sb 0.000 0.500 0.000
Sb 0.800 0.300 0.601
Sm 0.400 0.400 0.800
Sm 0.600 0.600 0.200
Sm 0.799 0.799 0.598
Sm 0.201 0.201 0.402
Pr 0.000 0.000 0.000
CELL_PARAMETERS angstrom
-4.272 0.738 -1.175
0.827 -3.515 -5.217
-1.417 -7.763 8.865
! Raw total energy   -56.062 eV/f.u.
! Uncorrected formation energy   -11.79 eV per formula unit
! Space group   Immm (71)
! DOS(E_F)   0.20 states/eV/atom
! Volume   319.59 Å³ per cell

***

Q: Among the records above, which one has the highest volume?
A: Pr3SmSb3

***

Q: What is the raw total energy in the fifth record?
A: -56.339 eV/f.u.